1.
VASP calculation (PBE-GGA) on an optimized crystal structure of CrReTe.

Results
ΔE_f (raw): 0.78 eV per atom

Structure (CIF):
```
data_CrReTe
_chemical_formula_sum 'Cr1 Re1 Te1'
_cell_length_a 4.3350
_cell_length_b 4.3350
_cell_length_c 2.9497
_cell_angle_alpha 90.00
_cell_angle_beta 90.00
_cell_angle_gamma 120.00
_symmetry_space_group_name_H-M 'P -6 m 2'
_symmetry_Int_Tables_number 187
_symmetry_space_group_name_Hall 'P -6 2'
loop_
_atom_site_label
_atom_site_fract_x
_atom_site_fract_y
_atom_site_fract_z
_atom_site_occupancy
Cr1 0.0000 0.0000 0.0000 1
Re1 0.6667 0.3333 0.5000 1
Te1 0.3333 0.6667 0.0000 1
```

2.
VASP calculation (PBE-GGA) on an optimized crystal structure of SrAg4Sn4.

Results
ΔE_f: -0.060 eV per atom

Structure (CIF):
```
data_SrAg4Sn4
_chemical_formula_sum 'Sr2 Ag8 Sn8'
_cell_length_a 9.2475
_cell_length_b 9.2475
_cell_length_c 5.7261
_cell_angle_alpha 90.00
_cell_angle_beta 90.00
_cell_angle_gamma 90.00
_symmetry_space_group_name_H-M 'P 42/n'
_symmetry_Int_Tables_number 86
loop_
_symmetry_equiv_pos_as_xyz
'x,y,z'
'-x,-y,-z'
'-y,x+1/2,z+1/2'
'y,-x+1/2,-z+1/2'
'-x+1/2,-y+1/2,z'
'x+1/2,y+1/2,-z'
'y+1/2,-x,z+1/2'
'-y+1/2,x,-z+1/2'
loop_
_atom_site_label
_atom_site_fract_x
_atom_site_fract_y
_atom_site_fract_z
_atom_site_occupancy
Sr1 0.2500 0.2500 0.2500 1
Ag1 0.0506 0.8911 0.1465 1
Sn1 0.1028 0.8724 0.6384 1
```